Record 1
Entry from Alexandria via LeMat-Bulk: a geometry-optimized YMgCr2 structure (GGA-PBE).

POSCAR file:
```
YMgCr2
1.0
3.158 0.000 0.000
0.000 3.158 0.000
0.000 0.000 7.686
Cr Mg Y
2 1 1
Direct
0.000 0.000 0.068
0.500 0.500 0.199
0.000 0.000 0.447
0.500 0.500 0.785
```

Computed properties:
Energy relative to the elements = 0.2452 eV/atom
SG = P4mm (99)
Size of the total moment = 0.2 μB per cell
Energy = -6.581 eV per atom

=====

Record 2
Entry from Alexandria via LeMat-Bulk: a geometry-optimized YMgCr2 structure (GGA-PBE).

POSCAR file:
```
YMgCr2
1.0
-3.177 -0.735 -1.380
0.896 -3.417 -0.241
-2.403 -1.060 6.095
Cr Mg Y
2 1 1
Direct
0.000 0.000 0.020
0.000 0.000 0.480
0.500 0.500 0.250
0.500 0.500 0.750
```

Computed properties:
Energy relative to the elements = 0.5152 eV/atom
SG = P4/mmm (123)
Size of the total moment = 7.4 μB per cell
Energy = -6.311 eV per atom

=====

Record 3
Entry from Alexandria via LeMat-Bulk: a geometry-optimized YMgCr2 structure (GGA-PBE).

POSCAR file:
```
YMgCr2
1.0
0.504 2.202 7.284
3.140 -2.395 -2.480
2.724 2.458 1.079
Cr Mg Y
2 1 1
Direct
0.000 0.000 0.000
0.500 0.000 0.500
0.000 0.500 0.500
0.500 0.500 0.000
```

Computed properties:
Energy relative to the elements = 0.5276 eV/atom
SG = P4/mmm (123)
Size of the total moment = 7.3 μB per cell
Energy = -6.299 eV per atom

=====

Record 4
Entry from Alexandria via LeMat-Bulk: a geometry-optimized YMg3Cr structure (GGA-PBE).

POSCAR file:
```
YMg3Cr
1.0
5.871 0.000 0.000
0.000 5.871 0.000
0.000 0.000 5.871
Y Cr Mg
1 1 3
Direct
0.000 0.000 0.000
0.500 0.500 0.500
0.000 0.500 0.000
0.000 0.000 0.500
0.500 0.000 0.000
```

Computed properties:
Energy relative to the elements = 1.4404 eV/atom
SG = Pm-3m (221)
Size of the total moment = 4.5 μB per cell
Offset from the most stable computed form = 934.7 meV per atom
Energy = -2.734 eV per atom

=====

Record 5
Entry from Alexandria via LeMat-Bulk: a geometry-optimized YMgCr2 structure (GGA-PBE).

POSCAR file:
```
YMgCr2
1.0
9.597 -0.015 -0.009
9.058 3.171 -0.009
9.058 1.532 2.776
Cr Mg Y
2 1 1
Direct
0.997 0.997 0.997
0.503 0.503 0.503
0.250 0.250 0.250
0.750 0.750 0.750
```

Computed properties:
Energy relative to the elements = 0.7217 eV/atom
SG = R-3m (166)
Size of the total moment = 7.0 μB per cell
Energy = -6.105 eV per atom

=====

Record 6
Entry from Alexandria via LeMat-Bulk: a geometry-optimized Y2MgCr2 structure (GGA-PBE).

POSCAR file:
```
Y2MgCr2
1.0
4.674 0.000 0.000
0.000 4.674 0.000
2.337 2.337 5.653
Y Cr Mg
2 2 1
Direct
0.750 0.250 0.500
0.250 0.750 0.500
0.422 0.422 0.157
0.578 0.578 0.843
0.000 0.000 0.000
```

Computed properties:
Energy relative to the elements = 0.7787 eV/atom
SG = I4/mmm (139)
Size of the total moment = 0.0 μB per cell
Offset from the most stable computed form = 465.7 meV per atom
Energy = -5.975 eV per atom